# CoCuF6 | the Alexandria database | PBE+U | optimized geometry
# * DOS at the Fermi energy: 0.06 states/eV per atom
# * VASP energy: -4.070 eV/atom
# * calculated volume: 12.6 A^3/atom
data_CoCuF6
_chemical_formula_sum 'Co2 Cu2 F12'
_space_group_name_H-M_alt 'C 1 2/m 1'
_space_group_IT_number 12
_space_group_name_Hall '-C 2y'
_cell_length_a 4.8955
_cell_length_b 8.7934
_cell_length_c 4.8858
_cell_angle_alpha 90.00
_cell_angle_beta 106.97
_cell_angle_gamma 90.00
loop_
_atom_site_label
_atom_site_type_symbol
_atom_site_fract_x
_atom_site_fract_y
_atom_site_fract_z
_atom_site_occupancy
Co1 Co 0.0000 0.0000 0.0000 1
Cu1 Cu 0.0000 0.5000 0.5000 1
F1 F 0.2300 0.0000 0.7729 1
F2 F 0.2368 0.1388 0.2397 1